Ti2TlSb2: optimized geometry, PBE-GGA.

Its formation energy (no corrections) is -0.075 eV/atom. Its relative energy among the computed polymorphs is 0.82 eV per formula unit. The density of states at the Fermi level is 11.19 states/eV/cell. The value obtained for the uncorrected energy is -26.8 eV/f.u.

The structure belongs to space group P4/mbm (No. 127); the cell edges are 8.6606, 8.6606 and 3.0790 Å and the angles 90.00°, 90.00° and 90.00°. Symmetry generates all atoms from Ti at (0.1220, 0.3780, 0.0000), Tl at (0.0000, 0.0000, 0.5000) and Sb at (0.1609, 0.6609, 0.5000).

---

Ti2TlSb2: optimized geometry, PBE-GGA.

Its formation energy (no corrections) is -0.098 eV/atom. Its relative energy among the computed polymorphs is 0.70 eV per formula unit. The density of states at the Fermi level is 11.07 states/eV/cell. The value obtained for the uncorrected energy is -26.9 eV/f.u.

The structure belongs to space group I4/mmm (No. 139); the cell edges are 4.5869, 4.5869 and 12.4602 Å and the angles 90.00°, 90.00° and 90.00°. Symmetry generates all atoms from Ti at (0.0000, 0.5000, 0.2500), Tl at (0.0000, 0.0000, 0.0000) and Sb at (0.0000, 0.0000, 0.3715).

---

TiTl2Sb: optimized geometry, PBE-GGA.

Its formation energy (no corrections) is 0.426 eV/atom. Its relative energy among the computed polymorphs is 0.37 eV per formula unit. The density of states at the Fermi level is 19.57 states/eV/cell. The value obtained for the uncorrected energy is -15.0 eV/f.u.

The structure belongs to space group Fm-3m (No. 225); the cell edges are 7.4836, 7.4836 and 7.4836 Å and the angles 90.00°, 90.00° and 90.00°. Symmetry generates all atoms from Ti at (0.0000, 0.0000, 0.0000), Tl at (0.2500, 0.2500, 0.2500) and Sb at (0.0000, 0.0000, 0.5000).

---

TiTl2Sb: optimized geometry, PBE-GGA.

Its formation energy (no corrections) is 0.333 eV/atom. Its relative energy among the computed polymorphs is 0.00 eV per formula unit. The density of states at the Fermi level is 12.64 states/eV/cell. The value obtained for the uncorrected energy is -15.4 eV/f.u.

The structure belongs to space group I-42d (No. 122); the cell edges are 8.4569, 8.4569 and 5.9380 Å and the angles 90.00°, 90.00° and 90.00°. Symmetry generates all atoms from Ti at (0.0000, 0.0000, 0.0000), Tl at (0.2279, 0.2500, 0.1250) and Sb at (0.0000, 0.0000, 0.5000).